1.
# PBE ZnBi2BIr, optimized geometry
# - Formation enthalpy at 0 K: 1656 meV per atom
# - Magnetization: 0.0 μB/cell
# - Distance to the lowest polymorph of the same formula: 0.511 eV/atom
# - Uncorrected energy: -3.259 eV per atom
data_ZnBi2BIr
_chemical_formula_sum 'Zn1 Bi2 B1 Ir1'
_cell_length_a 5.2601
_cell_length_b 5.2601
_cell_length_c 4.6472
_cell_angle_alpha 90.00
_cell_angle_beta 90.00
_cell_angle_gamma 90.00
_symmetry_space_group_name_H-M 'P 4/m m m'
_symmetry_Int_Tables_number 123
_symmetry_space_group_name_Hall '-P 4 2'
loop_
_atom_site_label
_atom_site_fract_x
_atom_site_fract_y
_atom_site_fract_z
Zn1 0.0000 0.0000 0.0000
Bi1 0.0000 0.5000 0.0000
B1 0.5000 0.5000 0.5000
Ir1 0.0000 0.0000 0.5000


2.
# PBE KBi3B, optimized geometry
# - Formation enthalpy at 0 K: 518 meV per atom
# - Magnetization: 0.0 μB/cell
# - Distance to the lowest polymorph of the same formula: 0.000 eV/atom
# - Uncorrected energy: -3.365 eV per atom
data_KBi3B
_chemical_formula_sum 'K1 Bi3 B1'
_cell_length_a 5.2821
_cell_length_b 5.2821
_cell_length_c 5.2821
_cell_angle_alpha 90.00
_cell_angle_beta 90.00
_cell_angle_gamma 90.00
_symmetry_space_group_name_H-M 'P m -3 m'
_symmetry_Int_Tables_number 221
_symmetry_space_group_name_Hall '-P 4 2 3'
loop_
_atom_site_label
_atom_site_fract_x
_atom_site_fract_y
_atom_site_fract_z
K1 0.0000 0.0000 0.0000
Bi1 0.0000 0.5000 0.5000
B1 0.5000 0.5000 0.5000


3.
# PBE K2BiB, optimized geometry
# - Formation enthalpy at 0 K: 895 meV per atom
# - Magnetization: 0.0 μB/cell
# - Distance to the lowest polymorph of the same formula: 0.379 eV/atom
# - Uncorrected energy: -2.294 eV per atom
data_K2BiB
_chemical_formula_sum 'K8 Bi4 B4'
_cell_length_a 8.0648
_cell_length_b 8.0648
_cell_length_c 8.0648
_cell_angle_alpha 90.00
_cell_angle_beta 90.00
_cell_angle_gamma 90.00
_symmetry_space_group_name_H-M 'F m -3 m'
_symmetry_Int_Tables_number 225
_symmetry_space_group_name_Hall '-F 4 2 3'
loop_
_atom_site_label
_atom_site_fract_x
_atom_site_fract_y
_atom_site_fract_z
K1 0.2500 0.2500 0.2500
Bi1 0.0000 0.0000 0.0000
B1 0.0000 0.0000 0.5000


4.
# PBE KBiB, optimized geometry
# - Formation enthalpy at 0 K: 560 meV per atom
# - Magnetization: 0.0 μB/cell
# - Uncorrected energy: -3.325 eV per atom
data_KBiB
_chemical_formula_sum 'K4 Bi4 B4'
_cell_length_a 13.6986
_cell_length_b 3.8073
_cell_length_c 7.4342
_cell_angle_alpha 90.00
_cell_angle_beta 109.10
_cell_angle_gamma 90.00
_symmetry_space_group_name_H-M 'C 1 2/m 1'
_symmetry_Int_Tables_number 12
loop_
_symmetry_equiv_pos_as_xyz
'x,y,z'
'-x,-y,-z'
'-x,y,-z'
'x,-y,z'
'x+1/2,y+1/2,z'
'-x+1/2,-y+1/2,-z'
'-x+1/2,y+1/2,-z'
'x+1/2,-y+1/2,z'
loop_
_atom_site_label
_atom_site_fract_x
_atom_site_fract_y
_atom_site_fract_z
K1 0.0916 0.0000 0.2350
Bi1 0.1761 0.0000 0.7681
B1 0.1620 0.5000 0.9637